(1)
# SCAN InCu2Pd2, PBEsol geometry
# - Energy of formation: 0.072 eV per atom
# - Electronic total energy: -25.795 eV/atom
# - Size of the total moment: 0.0 μB/f.u.
data_InCu2Pd2
_chemical_formula_sum 'In2 Cu4 Pd4'
_cell_length_a 3.791
_cell_length_b 3.791
_cell_length_c 10.978
_cell_angle_alpha 90.00
_cell_angle_beta 90.00
_cell_angle_gamma 90.00
_space_group_name_H-M_alt 'I 4/m m m'
_space_group_IT_number 139
_space_group_name_Hall '-I 4 2'
loop_
_atom_site_label
_atom_site_type_symbol
_atom_site_fract_x
_atom_site_fract_y
_atom_site_fract_z
In1 In 0.000 0.000 0.000
Cu1 Cu 0.000 0.000 0.398
Pd1 Pd 0.000 0.500 0.250

(2)
# SCAN PmInCu2, PBEsol geometry
# - Energy of formation: -0.355 eV per atom
# - Electronic total energy: -27.298 eV/atom
# - Size of the total moment: 0.0 μB/f.u.
data_PmInCu2
_chemical_formula_sum 'Pm4 In4 Cu8'
_cell_length_a 6.628
_cell_length_b 6.628
_cell_length_c 6.628
_cell_angle_alpha 90.00
_cell_angle_beta 90.00
_cell_angle_gamma 90.00
_space_group_name_H-M_alt 'F m -3 m'
_space_group_IT_number 225
_space_group_name_Hall '-F 4 2 3'
loop_
_atom_site_label
_atom_site_type_symbol
_atom_site_fract_x
_atom_site_fract_y
_atom_site_fract_z
Pm1 Pm 0.000 0.000 0.000
In1 In 0.000 0.000 0.500
Cu1 Cu 0.250 0.250 0.250

(3)
# SCAN PrInCu, PBEsol geometry
# - Energy of formation: -0.482 eV per atom
# - Electronic total energy: -31.119 eV/atom
# - Size of the total moment: 0.0 μB/f.u.
data_PrInCu
_chemical_formula_sum 'Pr3 In3 Cu3'
_cell_length_a 7.4300
_cell_length_b 7.4300
_cell_length_c 4.1369
_cell_angle_alpha 90.00
_cell_angle_beta 90.00
_cell_angle_gamma 120.00
_space_group_name_H-M_alt 'P -6 2 m'
_space_group_IT_number 189
_space_group_name_Hall 'P -6 -2'
loop_
_atom_site_label
_atom_site_type_symbol
_atom_site_fract_x
_atom_site_fract_y
_atom_site_fract_z
Pr1 Pr 0.0000 0.5852 0.0000
In1 In 0.0000 0.2458 0.5000
Cu1 Cu 0.0000 0.0000 0.0000
Cu2 Cu 0.3333 0.6667 0.5000

(4)
# SCAN Pr2InCu2, PBEsol geometry
# - Energy of formation: -0.397 eV per atom
# - Electronic total energy: -30.485 eV/atom
# - Size of the total moment: 0.0 μB/f.u.
data_Pr2InCu2
_chemical_formula_sum 'Pr4 In2 Cu4'
_cell_length_a 7.609
_cell_length_b 7.609
_cell_length_c 3.873
_cell_angle_alpha 90.00
_cell_angle_beta 90.00
_cell_angle_gamma 90.00
_space_group_name_H-M_alt 'P 4/m b m'
_space_group_IT_number 127
_space_group_name_Hall '-P 4 2ab'
loop_
_atom_site_label
_atom_site_type_symbol
_atom_site_fract_x
_atom_site_fract_y
_atom_site_fract_z
Pr1 Pr 0.175 0.325 0.000
In1 In 0.000 0.000 0.500
Cu1 Cu 0.118 0.618 0.500

(5)
# SCAN PrIn6Cu6, PBEsol geometry
# - Energy of formation: -0.184 eV per atom
# - Electronic total energy: -25.941 eV/atom
# - Size of the total moment: 0.0 μB/f.u.
data_PrIn6Cu6
_chemical_formula_sum 'Pr2 In12 Cu12'
_cell_length_a 5.357
_cell_length_b 9.133
_cell_length_c 9.219
_cell_angle_alpha 90.00
_cell_angle_beta 90.00
_cell_angle_gamma 90.00
_space_group_name_H-M_alt 'I m m m'
_space_group_IT_number 71
_space_group_name_Hall '-I 2 2'
loop_
_atom_site_label
_atom_site_type_symbol
_atom_site_fract_x
_atom_site_fract_y
_atom_site_fract_z
Pr1 Pr 0.000 0.000 0.000
In1 In 0.000 0.000 0.345
In2 In 0.000 0.339 0.000
In3 In 0.000 0.500 0.313
Cu1 Cu 0.000 0.265 0.500
Cu2 Cu 0.250 0.250 0.250

(6)
# SCAN Pr2InCuS5, PBEsol geometry
# - ΔE_f (raw): -1.5904 eV per atom
# - Electronic total energy: -21.966 eV/atom
# - Size of the total moment: 0.0 μB/f.u.
data_Pr2InCuS5
_chemical_formula_sum 'Pr8 In4 Cu4 S20'
_cell_length_a 11.460
_cell_length_b 3.883
_cell_length_c 16.525
_cell_angle_alpha 90.00
_cell_angle_beta 90.00
_cell_angle_gamma 90.00
_space_group_name_H-M_alt 'P n m a'
_space_group_IT_number 62
_space_group_name_Hall '-P 2ac 2n'
loop_
_atom_site_label
_atom_site_type_symbol
_atom_site_fract_x
_atom_site_fract_y
_atom_site_fract_z
Pr1 Pr 0.022 0.250 0.179
Pr2 Pr 0.137 0.750 0.595
In1 In 0.193 0.750 0.362
Cu1 Cu 0.081 0.750 0.998
S1 S 0.014 0.250 0.694
S2 S 0.100 0.250 0.924
S3 S 0.109 0.250 0.463
S4 S 0.182 0.750 0.114
S5 S 0.239 0.750 0.771

(7)
# SCAN In2CuPt, PBEsol geometry
# - Energy of formation: 0.024 eV per atom
# - Electronic total energy: -38.017 eV/atom
# - Size of the total moment: 0.0 μB/f.u.
data_In2CuPt
_chemical_formula_sum 'In8 Cu4 Pt4'
_cell_length_a 6.508
_cell_length_b 6.508
_cell_length_c 6.508
_cell_angle_alpha 90.00
_cell_angle_beta 90.00
_cell_angle_gamma 90.00
_space_group_name_H-M_alt 'F -4 3 m'
_space_group_IT_number 216
_space_group_name_Hall 'F -4 2 3'
loop_
_atom_site_label
_atom_site_type_symbol
_atom_site_fract_x
_atom_site_fract_y
_atom_site_fract_z
In1 In 0.000 0.000 0.000
In2 In 0.250 0.250 0.250
Cu1 Cu 0.000 0.000 0.500
Pt1 Pt 0.250 0.250 0.750

(8)
# SCAN InCuPt2, PBEsol geometry
# - Energy of formation: -0.324 eV per atom
# - Electronic total energy: -47.567 eV/atom
# - Size of the total moment: 0.0 μB/f.u.
data_InCuPt2
_chemical_formula_sum 'In1 Cu1 Pt2'
_cell_length_a 2.953
_cell_length_b 2.953
_cell_length_c 6.928
_cell_angle_alpha 90.00
_cell_angle_beta 90.00
_cell_angle_gamma 90.00
_space_group_name_H-M_alt 'P 4/m m m'
_space_group_IT_number 123
_space_group_name_Hall '-P 4 2'
loop_
_atom_site_label
_atom_site_type_symbol
_atom_site_fract_x
_atom_site_fract_y
_atom_site_fract_z
In1 In 0.000 0.000 0.000
Cu1 Cu 0.000 0.000 0.500
Pt1 Pt 0.500 0.500 0.272

(9)
# SCAN InCuPt2, PBEsol geometry
# - Energy of formation: -0.365 eV per atom
# - Electronic total energy: -47.608 eV/atom
# - Size of the total moment: 0.0 μB/f.u.
data_InCuPt2
_chemical_formula_sum 'In1 Cu1 Pt2'
_cell_length_a 2.917
_cell_length_b 3.631
_cell_length_c 5.728
_cell_angle_alpha 90.00
_cell_angle_beta 90.00
_cell_angle_gamma 90.00
_space_group_name_H-M_alt 'P m m m'
_space_group_IT_number 47
_space_group_name_Hall '-P 2 2'
loop_
_atom_site_label
_atom_site_type_symbol
_atom_site_fract_x
_atom_site_fract_y
_atom_site_fract_z
In1 In 0.000 0.000 0.000
Cu1 Cu 0.000 0.000 0.500
Pt1 Pt 0.500 0.500 0.264

(10)
# SCAN In2CuPt, PBEsol geometry
# - Energy of formation: -0.166 eV per atom
# - Electronic total energy: -38.207 eV/atom
# - Size of the total moment: 0.0 μB/f.u.
data_In2CuPt
_chemical_formula_sum 'In4 Cu2 Pt2'
_cell_length_a 3.975
_cell_length_b 4.024
_cell_length_c 8.438
_cell_angle_alpha 90.00
_cell_angle_beta 90.00
_cell_angle_gamma 90.00
_space_group_name_H-M_alt 'I m m 2'
_space_group_IT_number 44
_space_group_name_Hall 'I 2 -2'
loop_
_atom_site_label
_atom_site_type_symbol
_atom_site_fract_x
_atom_site_fract_y
_atom_site_fract_z
In1 In 0.000 0.000 0.000
In2 In 0.000 0.500 0.248
Cu1 Cu 0.000 0.000 0.498
Pt1 Pt 0.000 0.500 0.751

(11)
# SCAN InCuPt2, PBEsol geometry
# - Energy of formation: -0.329 eV per atom
# - Electronic total energy: -47.572 eV/atom
# - Size of the total moment: 0.0 μB/f.u.
data_InCuPt2
_chemical_formula_sum 'In2 Cu2 Pt4'
_cell_length_a 5.668
_cell_length_b 7.376
_cell_length_c 2.922
_cell_angle_alpha 90.00
_cell_angle_beta 90.00
_cell_angle_gamma 90.00
_space_group_name_H-M_alt 'C m m m'
_space_group_IT_number 65
_space_group_name_Hall '-C 2 2'
loop_
_atom_site_label
_atom_site_type_symbol
_atom_site_fract_x
_atom_site_fract_y
_atom_site_fract_z
In1 In 0.000 0.000 0.000
Cu1 Cu 0.000 0.500 0.000
Pt1 Pt 0.250 0.250 0.500

(12)
# SCAN In2CuPt, PBEsol geometry
# - Energy of formation: -0.264 eV per atom
# - Electronic total energy: -38.305 eV/atom
# - Size of the total moment: 0.0 μB/f.u.
data_In2CuPt
_chemical_formula_sum 'In2 Cu1 Pt1'
_cell_length_a 3.457
_cell_length_b 4.149
_cell_length_c 5.242
_cell_angle_alpha 90.00
_cell_angle_beta 108.24
_cell_angle_gamma 90.00
_space_group_name_H-M_alt 'P 1 m 1'
_space_group_IT_number 6
_space_group_name_Hall 'P -2y'
loop_
_atom_site_label
_atom_site_type_symbol
_atom_site_fract_x
_atom_site_fract_y
_atom_site_fract_z
In1 In 0.000 0.000 0.000
In2 In 0.290 0.500 0.600
Cu1 Cu 0.731 0.000 0.464
Pt1 Pt 0.571 0.500 0.153